[1]
Entry from Alexandria: a relaxed NiAgAu2 crystal (PBE).

Values from the calculation:
The energy relative to the elements is 0.091 eV/atom. For the excess energy over the best structure of this formula in the dataset, the calculation gives 6.2 kJ/mol of atoms. The space-group type is P4mm (99).

a = 2.9080 Å, b = 2.9080 Å, c = 7.6875 Å
α = 90.00°, β = 90.00°, γ = 90.00°
Positions (direct):
Ag 0.5000 0.5000 0.7256
Au 0.0000 0.0000 0.9990
Au 0.5000 0.5000 0.2778
Ni 0.0000 0.0000 0.4976

[2]
Entry from Alexandria: a relaxed GaCuHPt2 crystal (PBE).

Values from the calculation:
The space-group type is P4/mmm (123).

a = 3.9933 Å, b = 3.9933 Å, c = 3.8375 Å
α = 90.00°, β = 90.00°, γ = 90.00°
Positions (direct):
H 0.0000 0.0000 0.0000
Cu 0.0000 0.0000 0.5000
Ga 0.5000 0.5000 0.5000
Pt 0.0000 0.5000 0.0000
Pt 0.5000 0.0000 0.0000

no.,energy (eV per formula unit),density of states at the Fermi level (states/eV/cell),total magnetization (μB per formula unit)
1,-14.822,4.000,0.22
2,-23.780,0.646,0.00